The following is a GGA-PBE calculation of a geometry-optimized BeSbMo structure, from Alexandria via LeMat-Bulk.

Computed properties:
formation energy from raw total energies = 0.586 eV per atom
polymorph energy (0 for the lowest one) = 422.0 meV/atom
total moment = 0.00 μB/f.u.

a = 3.084 Å, b = 3.084 Å, c = 6.160 Å
α = 90.00°, β = 90.00°, γ = 120.00°
Atoms (fractional coordinates):
Sb  0.333  0.667  0.668
Mo  0.667  0.333  0.310
Be  0.000  0.000  0.022


The following is a GGA-PBE calculation of a geometry-optimized La2Al7Au12 structure, from Alexandria via LeMat-Bulk.

Computed properties:
total moment = 0.00 μB/f.u.
formation energy = -0.54 eV per atom

a = 4.348 Å, b = 10.344 Å, c = 10.344 Å
α = 120.00°, β = 90.00°, γ = 90.00°
Atoms (fractional coordinates):
La  0.500  0.000  0.000
La  0.000  0.667  0.333
Al  0.000  0.333  0.667
Al  0.000  0.094  0.792
Al  0.000  0.699  0.906
Al  0.000  0.208  0.301
Al  0.500  0.652  0.590
Al  0.500  0.938  0.348
Al  0.500  0.410  0.062
Au  0.500  0.899  0.588
Au  0.500  0.689  0.101
Au  0.500  0.412  0.311
Au  0.500  0.228  0.769
Au  0.500  0.541  0.772
Au  0.500  0.231  0.459
Au  0.000  0.043  0.510
Au  0.000  0.466  0.957
Au  0.000  0.490  0.534
Au  0.000  0.819  0.735
Au  0.000  0.916  0.181
Au  0.000  0.265  0.084


The following is a GGA-PBE calculation of a geometry-optimized CuGeOs structure, from Alexandria via LeMat-Bulk.

Computed properties:
total moment = 0.00 μB/f.u.
formation energy = 0.23 eV per atom

a = 3.908 Å, b = 3.908 Å, c = 6.011 Å
α = 90.00°, β = 90.00°, γ = 90.00°
Atoms (fractional coordinates):
Cu  0.000  0.500  0.815
Cu  0.500  0.000  0.185
Ge  0.000  0.500  0.217
Ge  0.500  0.000  0.783
Os  0.500  0.500  0.500
Os  0.000  0.000  0.500


The following is a GGA-PBE calculation of a geometry-optimized ZnAu3N structure, from Alexandria via LeMat-Bulk.

Computed properties:
formation energy from raw total energies = 0.765 eV per atom
polymorph energy (0 for the lowest one) = 0.0 meV/atom
total moment = 0.00 μB/f.u.

a = 4.428 Å, b = 4.428 Å, c = 4.428 Å
α = 90.00°, β = 90.00°, γ = 90.00°
Atoms (fractional coordinates):
Zn  0.500  0.500  0.500
Au  0.000  0.500  0.000
Au  0.000  0.000  0.500
Au  0.500  0.000  0.000
N  0.000  0.000  0.000


The following is a GGA-PBE calculation of a geometry-optimized MgTl2Bi structure, from Alexandria via LeMat-Bulk.

Computed properties:
total moment = 0.00 μB/f.u.
formation energy = -0.11 eV per atom

a = 5.109 Å, b = 5.109 Å, c = 9.690 Å
α = 105.29°, β = 105.29°, γ = 90.00°
Atoms (fractional coordinates):
Mg  0.250  0.750  0.500
Mg  0.750  0.250  0.500
Tl  0.000  0.500  0.000
Tl  0.500  0.000  0.000
Tl  0.366  0.366  0.732
Tl  0.634  0.634  0.268
Bi  0.147  0.147  0.293
Bi  0.853  0.853  0.707


The following is a GGA-PBE calculation of a geometry-optimized BiPbSe2N structure, from Alexandria via LeMat-Bulk.

Computed properties:
formation energy from raw total energies = 0.651 eV per atom
polymorph energy (0 for the lowest one) = 0.0 meV/atom
total moment = 1.79 μB/f.u.

a = 5.685 Å, b = 5.685 Å, c = 4.700 Å
α = 90.00°, β = 90.00°, γ = 90.00°
Atoms (fractional coordinates):
Pb  0.500  0.500  0.500
Bi  0.000  0.000  0.000
Se  0.000  0.500  0.000
Se  0.500  0.000  0.000
N  0.000  0.000  0.500